The following is a PBE calculation of a relaxed BaSr2IBr crystal, from the Alexandria database.

The structure belongs to space group P4/mmm (No. 123); the cell edges are 8.003, 8.003 and 6.467 Å and the angles 90.00°, 90.00° and 90.00°. Symmetry generates all atoms from Ba at (0.000, 0.000, 0.000), Sr at (0.000, 0.500, 0.000), I at (0.000, 0.000, 0.500) and Br at (0.500, 0.500, 0.500).

As for the formation energy (no corrections): -0.2500 eV/atom. As for the total moment: 0.00 μB/atom.